Compound: MgSc2CoH
Source: the Alexandria database
Functional: GGA-PBE
Structure: relaxed

a b c (Å): 4.6269 4.6269 3.5255
angles (deg): 90.00 90.00 90.00
Fractional positions:
Mg 0.0000 0.0000 0.0000
Sc 0.0000 0.5000 0.5000
Sc 0.5000 0.0000 0.5000
Co 0.5000 0.5000 0.0000
H 0.5000 0.5000 0.5000

Output
Mass density: 3.83 Mg/m³
Crystal system: tetragonal
VASP energy: -25.705 eV per cell
Total magnetic moment: 0.4 μB per formula unit